AlCoRe2 | PBE | optimized geometry

Summary:
The magnetic moment comes out at 0.295 μB/atom. Its formation energy from the elements is -33 meV per atom. The value obtained for the total energy is -8.969 eV/atom. The volume comes out at 13.8 Å³/atom.

Lattice parameters (Å, degrees): 4.991 4.991 4.991 143.89 130.29 62.97
Fractional positions:
Re 0.002 0.002 0.000
Re 0.498 0.498 0.000
Co 0.250 0.750 0.500
Al 0.750 0.250 0.500